DFT (SCAN) results for ZnIr3O at its PBEsol-relaxed geometry.

Computed properties:
calculated density	16.16	g/cm³
density of states at the Fermi level	4.20	states/eV/f.u.
space-group type	Pm-3m, No. 221

extended XYZ file:
```
5
Lattice="4.074 0.000 0.000 0.000 4.074 0.000 0.000 0.000 4.074" Properties=species:S:1:pos:R:3 pbc="T T T"
Zn 0.000 0.000 0.000
Ir 0.000 2.037 2.037
Ir 2.037 0.000 2.037
Ir 2.037 2.037 0.000
O 2.037 2.037 2.037
```

DFT (SCAN) results for IrOs2 at its PBEsol-relaxed geometry.

Computed properties:
relative energy among the computed polymorphs	74	meV/atom
calculated density	22.64	g/cm³
density of states at the Fermi level	2.27	states/eV/f.u.
energy of formation from the pure elements	0.068	eV/atom
space-group type	Cmcm, No. 63

extended XYZ file:
```
6
Lattice="1.917 -5.727 0.000 1.917 5.727 0.000 0.000 0.000 3.827" Properties=species:S:1:pos:R:3 pbc="T T T"
Ir 1.917 4.767 2.870
Ir 1.917 -4.767 0.957
Os 1.917 2.882 0.957
Os 1.917 0.973 2.870
Os 1.917 -0.973 0.957
Os 1.917 -2.882 2.870
```

DFT (SCAN) results for IrOs2 at its PBEsol-relaxed geometry.

Computed properties:
relative energy among the computed polymorphs	7	meV/atom
calculated density	22.71	g/cm³
density of states at the Fermi level	1.91	states/eV/f.u.
energy of formation from the pure elements	0.001	eV/atom
space-group type	C2/m, No. 12

extended XYZ file:
```
6
Lattice="4.933 -1.363 0.000 4.933 1.363 0.000 -1.531 0.000 6.230" Properties=species:S:1:pos:R:3 pbc="T T T"
Ir -0.196 0.000 1.897
Ir 8.532 0.000 4.333
Os 2.445 0.000 2.236
Os 2.054 0.000 6.046
Os 6.281 0.000 0.184
Os 5.890 0.000 3.994
```

DFT (SCAN) results for IrOs2 at its PBEsol-relaxed geometry.

Computed properties:
relative energy among the computed polymorphs	431	meV/atom
calculated density	21.98	g/cm³
density of states at the Fermi level	2.43	states/eV/f.u.
energy of formation from the pure elements	0.425	eV/atom
space-group type	P6/mmm, No. 191

extended XYZ file:
```
3
Lattice="4.303 0.000 0.000 -2.151 3.726 0.000 0.000 0.000 2.699" Properties=species:S:1:pos:R:3 pbc="T T T"
Ir 0.000 0.000 0.000
Os 0.000 2.484 1.349
Os 2.151 1.242 1.349
```

Values of total energy, in order: -45.778; -71.551; -71.619; -71.194, all in eV per atom.